Density functional theory data (PBE) for crystalline LuPuTc at its relaxed geometry.

Calculated values
Space-group type: I4mm
ΔH_f (0 K), meV/atom: -24
V, A^3/atom: 22.31
Density, g/cm³: 12.8

Cell: 6.417 6.417 6.417 Å, 149.74 149.74 43.33°
Fractional coordinates of all 3 atoms:
Lu 0.000 0.000 0.000
Pu 0.280 0.280 0.000
Tc 0.647 0.647 0.000



Density functional theory data (PBE) for crystalline Lu2PuTc at its relaxed geometry.

Calculated values
Space-group type: R-3m
ΔH_f (0 K), meV/atom: 210
V, A^3/atom: 22.44
Density, g/cm³: 12.8

Cell: 5.022 5.022 5.022 Å, 60.10 60.10 60.10°
Fractional coordinates of all 4 atoms:
Lu 0.250 0.250 0.250
Lu 0.750 0.750 0.750
Pu 0.000 0.000 0.000
Tc 0.500 0.500 0.500



Density functional theory data (PBE) for crystalline LuPuTc2 at its relaxed geometry.

Calculated values
Space-group type: Fm-3m
ΔH_f (0 K), meV/atom: -52
V, A^3/atom: 18.85
Density, g/cm³: 13.5

Cell: 4.742 4.742 4.742 Å, 60.00 60.00 60.00°
Fractional coordinates of all 4 atoms:
Lu 0.000 0.000 0.000
Pu 0.500 0.500 0.500
Tc 0.250 0.250 0.250
Tc 0.750 0.750 0.750



Density functional theory data (PBE) for crystalline LuPuTe2 at its relaxed geometry.

Calculated values
Space-group type: Fm-3m
V, A^3/atom: 26.62
E_form (uncorrected), eV per atom: -0.97
Density, g/cm³: 10.5

Cell: 5.320 5.320 5.320 Å, 60.00 60.00 60.00°
Fractional coordinates of all 4 atoms:
Lu 0.000 0.000 0.000
Pu 0.500 0.500 0.500
Te 0.250 0.250 0.250
Te 0.750 0.750 0.750



Density functional theory data (PBE) for crystalline LuPuTe2 at its relaxed geometry.

Calculated values
Space-group type: P4/mmm
V, A^3/atom: 26.66
E_form (uncorrected), eV per atom: -0.98
Density, g/cm³: 10.5

Cell: 3.753 3.753 7.572 Å, 90.00 90.00 90.00°
Fractional coordinates of all 4 atoms:
Lu 0.000 0.000 0.000
Pu 0.000 0.000 0.500
Te 0.500 0.500 0.241
Te 0.500 0.500 0.759



Density functional theory data (PBE) for crystalline Lu2PuTe at its relaxed geometry.

Calculated values
Space-group type: P4/mmm
V, A^3/atom: 27.21
E_form (uncorrected), eV per atom: -0.41
Density, g/cm³: 11.0

Cell: 3.750 3.750 7.738 Å, 90.00 90.00 90.00°
Fractional coordinates of all 4 atoms:
Lu 0.000 0.000 0.230
Lu 0.000 0.000 0.770
Pu 0.500 0.500 0.500
Te 0.500 0.500 0.000



Density functional theory data (PBE) for crystalline LuPuTe at its relaxed geometry.

Calculated values
Space-group type: I4mm
V, A^3/atom: 27.88
E_form (uncorrected), eV per atom: -0.53
Density, g/cm³: 10.8

Cell: 6.316 6.316 6.316 Å, 144.72 144.72 50.76°
Fractional coordinates of all 3 atoms:
Lu 0.000 0.000 0.000
Pu 0.692 0.692 0.000
Te 0.359 0.359 0.000



Density functional theory data (PBE) for crystalline Lu12Pu3Te5 at its relaxed geometry.

Calculated values
Space-group type: Ia-3d
V, A^3/atom: 35.58
E_form (uncorrected), eV per atom: 0.06
Density, g/cm³: 8.1

Cell: 15.463 15.463 15.463 Å, 109.47 109.47 109.47°
Fractional coordinates of all 80 atoms:
Lu 0.062 0.229 0.132
Lu 0.062 0.333 0.930
Lu 0.070 0.632 0.403
Lu 0.070 0.938 0.667
Lu 0.097 0.729 0.667
Lu 0.097 0.868 0.430
Lu 0.132 0.062 0.229
Lu 0.132 0.570 0.903
Lu 0.167 0.229 0.597
Lu 0.167 0.438 0.570
Lu 0.229 0.132 0.062
Lu 0.229 0.597 0.167
Lu 0.271 0.333 0.903
Lu 0.271 0.438 0.368
Lu 0.333 0.903 0.271
Lu 0.333 0.930 0.062
Lu 0.368 0.271 0.438
Lu 0.368 0.597 0.930
Lu 0.403 0.070 0.632
Lu 0.403 0.833 0.771
Lu 0.430 0.097 0.868
Lu 0.430 0.833 0.562
Lu 0.438 0.368 0.271
Lu 0.438 0.570 0.167
Lu 0.562 0.430 0.833
Lu 0.562 0.632 0.729
Lu 0.570 0.167 0.438
Lu 0.570 0.903 0.132
Lu 0.597 0.167 0.229
Lu 0.597 0.930 0.368
Lu 0.632 0.403 0.070
Lu 0.632 0.729 0.562
Lu 0.667 0.070 0.938
Lu 0.667 0.097 0.729
Lu 0.729 0.562 0.632
Lu 0.729 0.667 0.097
Lu 0.771 0.403 0.833
Lu 0.771 0.868 0.938
Lu 0.833 0.562 0.430
Lu 0.833 0.771 0.403
Lu 0.868 0.430 0.097
Lu 0.868 0.938 0.771
Lu 0.903 0.132 0.570
Lu 0.903 0.271 0.333
Lu 0.930 0.062 0.333
Lu 0.930 0.368 0.597
Lu 0.938 0.667 0.070
Lu 0.938 0.771 0.868
Pu 0.125 0.250 0.375
Pu 0.125 0.375 0.750
Pu 0.250 0.375 0.125
Pu 0.250 0.875 0.625
Pu 0.375 0.125 0.250
Pu 0.375 0.750 0.125
Pu 0.625 0.250 0.875
Pu 0.625 0.875 0.750
Pu 0.750 0.125 0.375
Pu 0.750 0.625 0.875
Pu 0.875 0.625 0.250
Pu 0.875 0.750 0.625
Te 0.000 0.000 0.000
Te 0.000 0.000 0.500
Te 0.000 0.500 0.000
Te 0.000 0.500 0.500
Te 0.125 0.750 0.875
Te 0.125 0.875 0.250
Te 0.250 0.125 0.875
Te 0.250 0.625 0.375
Te 0.375 0.250 0.625
Te 0.375 0.625 0.750
Te 0.500 0.000 0.000
Te 0.500 0.000 0.500
Te 0.500 0.500 0.000
Te 0.500 0.500 0.500
Te 0.625 0.375 0.250
Te 0.625 0.750 0.375
Te 0.750 0.375 0.625
Te 0.750 0.875 0.125
Te 0.875 0.125 0.750
Te 0.875 0.250 0.125



| no. | total magnetic moment (μB per formula unit) |
| --- | --- |
| 1 | 5.0 |
| 2 | 5.7 |
| 3 | 3.2 |
| 4 | 6.6 |
| 5 | 6.4 |
| 6 | 6.2 |
| 7 | 6.4 |
| 8 | 22.5 |